Model A:
The following is a GGA-PBEsol calculation of a relaxed Ag2TeCl crystal, from Alexandria via LeMat-Bulk.

CIF file:
```
data_Ag2TeCl
_chemical_formula_sum 'Ag2 Te1 Cl1'
_cell_length_a 3.598
_cell_length_b 3.598
_cell_length_c 6.923
_cell_angle_alpha 90.00
_cell_angle_beta 90.00
_cell_angle_gamma 90.00
_symmetry_space_group_name_H-M 'P 4 m m'
_symmetry_Int_Tables_number 99
loop_
_symmetry_equiv_pos_as_xyz
'x,y,z'
'-y,x,z'
'-x,-y,z'
'y,-x,z'
'-x,y,z'
'y,x,z'
'x,-y,z'
'-y,-x,z'
loop_
_atom_site_label
_atom_site_type_symbol
_atom_site_fract_x
_atom_site_fract_y
_atom_site_fract_z
_atom_site_occupancy
Ag1 Ag 0.000 0.000 0.000 1
Ag2 Ag 0.500 0.500 0.211 1
Te1 Te 0.000 0.000 0.406 1
Cl1 Cl 0.500 0.500 0.824 1
```

Calculated values
Total moment: 0.00 Bohr magnetons per cell
DOS at the Fermi energy: 1.1 states/eV/cell
Crystal system: tetragonal

---

Model B:
The following is a GGA-PBEsol calculation of a relaxed Ag2TeCl crystal, from Alexandria via LeMat-Bulk.

CIF file:
```
data_Ag2TeCl
_chemical_formula_sum 'Ag2 Te1 Cl1'
_cell_length_a 3.327
_cell_length_b 3.970
_cell_length_c 6.731
_cell_angle_alpha 90.00
_cell_angle_beta 90.00
_cell_angle_gamma 90.00
_symmetry_space_group_name_H-M 'P m m 2'
_symmetry_Int_Tables_number 25
loop_
_symmetry_equiv_pos_as_xyz
'x,y,z'
'-x,-y,z'
'-x,y,z'
'x,-y,z'
loop_
_atom_site_label
_atom_site_type_symbol
_atom_site_fract_x
_atom_site_fract_y
_atom_site_fract_z
_atom_site_occupancy
Ag1 Ag 0.000 0.000 0.000 1
Ag2 Ag 0.500 0.500 0.231 1
Te1 Te 0.500 0.500 0.818 1
Cl1 Cl 0.000 0.000 0.399 1
```

Calculated values
Total moment: 0.00 Bohr magnetons per cell
DOS at the Fermi energy: 1.0 states/eV/cell
Crystal system: orthorhombic

---

Order of stability, best first: model B, model A

---

Model A:
The following is a GGA-PBEsol calculation of a relaxed CoNiIr2 crystal, from Alexandria via LeMat-Bulk.

CIF file:
```
data_CoNiIr2
_chemical_formula_sum 'Co3 Ni3 Ir6'
_cell_length_a 2.6401
_cell_length_b 2.6401
_cell_length_c 24.9043
_cell_angle_alpha 90.00
_cell_angle_beta 90.00
_cell_angle_gamma 120.00
_symmetry_space_group_name_H-M 'R 3 m'
_symmetry_Int_Tables_number 160
_symmetry_space_group_name_Hall 'R 3 -2"'
loop_
_atom_site_label
_atom_site_type_symbol
_atom_site_fract_x
_atom_site_fract_y
_atom_site_fract_z
_atom_site_occupancy
Co1 Co 0.0000 0.0000 0.0000 1
Ni1 Ni 0.0000 0.0000 0.7435 1
Ir1 Ir 0.0000 0.0000 0.2507 1
Ir2 Ir 0.0000 0.0000 0.4938 1
```

Calculated values
Total moment: 6.52 Bohr magnetons per cell
DOS at the Fermi energy: 16.8 states/eV/cell
Crystal system: trigonal

---

Model B:
The following is a GGA-PBEsol calculation of a relaxed CoNiIr2 crystal, from Alexandria via LeMat-Bulk.

CIF file:
```
data_CoNiIr2
_chemical_formula_sum 'Co1 Ni1 Ir2'
_cell_length_a 2.662
_cell_length_b 2.662
_cell_length_c 6.972
_cell_angle_alpha 90.00
_cell_angle_beta 90.00
_cell_angle_gamma 90.00
_symmetry_space_group_name_H-M 'P 4 m m'
_symmetry_Int_Tables_number 99
loop_
_symmetry_equiv_pos_as_xyz
'x,y,z'
'-y,x,z'
'-x,-y,z'
'y,-x,z'
'-x,y,z'
'y,x,z'
'x,-y,z'
'-y,-x,z'
loop_
_atom_site_label
_atom_site_type_symbol
_atom_site_fract_x
_atom_site_fract_y
_atom_site_fract_z
_atom_site_occupancy
Co1 Co 0.000 0.000 0.000 1
Ni1 Ni 0.500 0.500 0.776 1
Ir1 Ir 0.000 0.000 0.523 1
Ir2 Ir 0.500 0.500 0.250 1
```

Calculated values
Total moment: 1.90 Bohr magnetons per cell
DOS at the Fermi energy: 5.7 states/eV/cell
Crystal system: tetragonal

---

Order of stability, best first: model B, model A

---

Model A:
The following is a GGA-PBEsol calculation of a relaxed TlC2 crystal, from Alexandria via LeMat-Bulk.

CIF file:
```
data_TlC2
_chemical_formula_sum 'Tl4 C8'
_cell_length_a 5.191
_cell_length_b 5.191
_cell_length_c 6.491
_cell_angle_alpha 90.00
_cell_angle_beta 90.00
_cell_angle_gamma 90.00
_symmetry_space_group_name_H-M 'I 4/m c m'
_symmetry_Int_Tables_number 140
_symmetry_space_group_name_Hall '-I 4 2c'
loop_
_atom_site_label
_atom_site_type_symbol
_atom_site_fract_x
_atom_site_fract_y
_atom_site_fract_z
_atom_site_occupancy
Tl1 Tl 0.000 0.000 0.250 1
C1 C 0.087 0.413 0.000 1
```

Calculated values
Total moment: 0.97 Bohr magnetons per cell
DOS at the Fermi energy: 8.5 states/eV/cell
Crystal system: tetragonal

---

Model B:
The following is a GGA-PBEsol calculation of a relaxed TlC2 crystal, from Alexandria via LeMat-Bulk.

CIF file:
```
data_TlC2
_chemical_formula_sum 'Tl1 C2'
_cell_length_a 3.4874
_cell_length_b 3.4874
_cell_length_c 4.2800
_cell_angle_alpha 90.00
_cell_angle_beta 90.00
_cell_angle_gamma 120.00
_symmetry_space_group_name_H-M 'P -6 m 2'
_symmetry_Int_Tables_number 187
_symmetry_space_group_name_Hall 'P -6 2'
loop_
_atom_site_label
_atom_site_type_symbol
_atom_site_fract_x
_atom_site_fract_y
_atom_site_fract_z
_atom_site_occupancy
Tl1 Tl 0.0000 0.0000 0.0000 1
C1 C 0.3333 0.6667 0.3510 1
```

Calculated values
Total moment: 0.00 Bohr magnetons per cell
DOS at the Fermi energy: 0.5 states/eV/cell
Crystal system: hexagonal

---

Order of stability, best first: model B, model A

---

Model A:
The following is a GGA-PBEsol calculation of a relaxed Ta2BeCd crystal, from Alexandria via LeMat-Bulk.

CIF file:
```
data_Ta2BeCd
_chemical_formula_sum 'Ta8 Be4 Cd4'
_cell_length_a 6.350
_cell_length_b 6.350
_cell_length_c 6.350
_cell_angle_alpha 90.00
_cell_angle_beta 90.00
_cell_angle_gamma 90.00
_symmetry_space_group_name_H-M 'F m -3 m'
_symmetry_Int_Tables_number 225
_symmetry_space_group_name_Hall '-F 4 2 3'
loop_
_atom_site_label
_atom_site_type_symbol
_atom_site_fract_x
_atom_site_fract_y
_atom_site_fract_z
_atom_site_occupancy
Ta1 Ta 0.250 0.250 0.250 1
Be1 Be 0.000 0.000 0.000 1
Cd1 Cd 0.000 0.000 0.500 1
```

Calculated values
Total moment: 0.00 Bohr magnetons per cell
DOS at the Fermi energy: 16.1 states/eV/cell
Crystal system: cubic

---

Model B:
The following is a GGA-PBEsol calculation of a relaxed Ta2BeCd crystal, from Alexandria via LeMat-Bulk.

CIF file:
```
data_Ta2BeCd
_chemical_formula_sum 'Ta4 Be2 Cd2'
_cell_length_a 2.918
_cell_length_b 4.750
_cell_length_c 9.118
_cell_angle_alpha 90.00
_cell_angle_beta 90.00
_cell_angle_gamma 90.00
_symmetry_space_group_name_H-M 'I m m 2'
_symmetry_Int_Tables_number 44
loop_
_symmetry_equiv_pos_as_xyz
'x,y,z'
'-x,-y,z'
'-x,y,z'
'x,-y,z'
'x+1/2,y+1/2,z+1/2'
'-x+1/2,-y+1/2,z+1/2'
'-x+1/2,y+1/2,z+1/2'
'x+1/2,-y+1/2,z+1/2'
loop_
_atom_site_label
_atom_site_type_symbol
_atom_site_fract_x
_atom_site_fract_y
_atom_site_fract_z
_atom_site_occupancy
Ta1 Ta 0.000 0.000 0.000 1
Ta2 Ta 0.000 0.500 0.225 1
Be1 Be 0.000 0.500 0.728 1
Cd1 Cd 0.000 0.000 0.442 1
```

Calculated values
Total moment: 0.00 Bohr magnetons per cell
DOS at the Fermi energy: 4.4 states/eV/cell
Crystal system: orthorhombic

---

Order of stability, best first: model B, model A

---

Model A:
The following is a GGA-PBEsol calculation of a relaxed FeIr2Cl crystal, from Alexandria via LeMat-Bulk.

CIF file:
```
data_FeIr2Cl
_chemical_formula_sum 'Fe4 Ir8 Cl4'
_cell_length_a 6.061
_cell_length_b 6.061
_cell_length_c 6.061
_cell_angle_alpha 90.00
_cell_angle_beta 90.00
_cell_angle_gamma 90.00
_symmetry_space_group_name_H-M 'F m -3 m'
_symmetry_Int_Tables_number 225
_symmetry_space_group_name_Hall '-F 4 2 3'
loop_
_atom_site_label
_atom_site_type_symbol
_atom_site_fract_x
_atom_site_fract_y
_atom_site_fract_z
_atom_site_occupancy
Fe1 Fe 0.000 0.000 0.000 1
Ir1 Ir 0.250 0.250 0.250 1
Cl1 Cl 0.000 0.000 0.500 1
```

Calculated values
Total moment: 15.76 Bohr magnetons per cell
DOS at the Fermi energy: 17.9 states/eV/cell
Crystal system: cubic

---

Model B:
The following is a GGA-PBEsol calculation of a relaxed FeIr2Cl crystal, from Alexandria via LeMat-Bulk.

CIF file:
```
data_FeIr2Cl
_chemical_formula_sum 'Fe1 Ir2 Cl1'
_cell_length_a 2.723
_cell_length_b 4.442
_cell_length_c 4.710
_cell_angle_alpha 90.00
_cell_angle_beta 90.00
_cell_angle_gamma 90.00
_symmetry_space_group_name_H-M 'P m m m'
_symmetry_Int_Tables_number 47
loop_
_symmetry_equiv_pos_as_xyz
'x,y,z'
'-x,-y,-z'
'-x,-y,z'
'x,y,-z'
'x,-y,-z'
'-x,y,z'
'-x,y,-z'
'x,-y,z'
loop_
_atom_site_label
_atom_site_type_symbol
_atom_site_fract_x
_atom_site_fract_y
_atom_site_fract_z
_atom_site_occupancy
Fe1 Fe 0.000 0.000 0.000 1
Ir1 Ir 0.000 0.500 0.500 1
Ir2 Ir 0.500 0.500 0.000 1
Cl1 Cl 0.500 0.000 0.500 1
```

Calculated values
Total moment: 3.81 Bohr magnetons per cell
DOS at the Fermi energy: 3.1 states/eV/cell
Crystal system: orthorhombic

---

Order of stability, best first: model B, model A

---

Model A:
The following is a GGA-PBEsol calculation of a relaxed TlCdPb2 crystal, from Alexandria via LeMat-Bulk.

CIF file:
```
data_TlCdPb2
_chemical_formula_sum 'Tl3 Cd3 Pb6'
_cell_length_a 3.4258
_cell_length_b 3.4258
_cell_length_c 32.2681
_cell_angle_alpha 90.00
_cell_angle_beta 90.00
_cell_angle_gamma 120.00
_symmetry_space_group_name_H-M 'R -3 m'
_symmetry_Int_Tables_number 166
_symmetry_space_group_name_Hall '-R 3 2"'
loop_
_atom_site_label
_atom_site_type_symbol
_atom_site_fract_x
_atom_site_fract_y
_atom_site_fract_z
_atom_site_occupancy
Tl1 Tl 0.0000 0.0000 0.0000 1
Cd1 Cd 0.0000 0.0000 0.5000 1
Pb1 Pb 0.0000 0.0000 0.2449 1
```

Calculated values
Total moment: 0.00 Bohr magnetons per cell
DOS at the Fermi energy: 4.6 states/eV/cell
Crystal system: trigonal

---

Model B:
The following is a GGA-PBEsol calculation of a relaxed TlCdPb2 crystal, from Alexandria via LeMat-Bulk.

CIF file:
```
data_TlCdPb2
_chemical_formula_sum 'Tl2 Cd2 Pb4'
_cell_length_a 3.678
_cell_length_b 5.479
_cell_length_c 10.859
_cell_angle_alpha 90.00
_cell_angle_beta 90.00
_cell_angle_gamma 90.00
_symmetry_space_group_name_H-M 'I m m 2'
_symmetry_Int_Tables_number 44
loop_
_symmetry_equiv_pos_as_xyz
'x,y,z'
'-x,-y,z'
'-x,y,z'
'x,-y,z'
'x+1/2,y+1/2,z+1/2'
'-x+1/2,-y+1/2,z+1/2'
'-x+1/2,y+1/2,z+1/2'
'x+1/2,-y+1/2,z+1/2'
loop_
_atom_site_label
_atom_site_type_symbol
_atom_site_fract_x
_atom_site_fract_y
_atom_site_fract_z
_atom_site_occupancy
Tl1 Tl 0.000 0.000 0.000 1
Cd1 Cd 0.000 0.500 0.731 1
Pb1 Pb 0.000 0.000 0.467 1
Pb2 Pb 0.000 0.500 0.235 1
```

Calculated values
Total moment: 0.00 Bohr magnetons per cell
DOS at the Fermi energy: 4.0 states/eV/cell
Crystal system: orthorhombic

---

Order of stability, best first: model A, model B

---

Model A:
The following is a GGA-PBEsol calculation of a relaxed YTlCd2 crystal, from Alexandria via LeMat-Bulk.

CIF file:
```
data_YTlCd2
_chemical_formula_sum 'Y1 Tl1 Cd2'
_cell_length_a 3.828
_cell_length_b 3.828
_cell_length_c 6.642
_cell_angle_alpha 90.00
_cell_angle_beta 90.00
_cell_angle_gamma 90.00
_symmetry_space_group_name_H-M 'P 4/m m m'
_symmetry_Int_Tables_number 123
_symmetry_space_group_name_Hall '-P 4 2'
loop_
_atom_site_label
_atom_site_type_symbol
_atom_site_fract_x
_atom_site_fract_y
_atom_site_fract_z
_atom_site_occupancy
Y1 Y 0.000 0.000 0.000 1
Tl1 Tl 0.000 0.000 0.500 1
Cd1 Cd 0.500 0.500 0.252 1
```

Calculated values
Total moment: 0.00 Bohr magnetons per cell
DOS at the Fermi energy: 2.7 states/eV/cell
Crystal system: tetragonal

---

Model B:
The following is a GGA-PBEsol calculation of a relaxed YTlCd2 crystal, from Alexandria via LeMat-Bulk.

CIF file:
```
data_YTlCd2
_chemical_formula_sum 'Y4 Tl4 Cd8'
_cell_length_a 7.188
_cell_length_b 7.188
_cell_length_c 7.188
_cell_angle_alpha 90.00
_cell_angle_beta 90.00
_cell_angle_gamma 90.00
_symmetry_space_group_name_H-M 'F -4 3 m'
_symmetry_Int_Tables_number 216
_symmetry_space_group_name_Hall 'F -4 2 3'
loop_
_atom_site_label
_atom_site_type_symbol
_atom_site_fract_x
_atom_site_fract_y
_atom_site_fract_z
_atom_site_occupancy
Y1 Y 0.000 0.000 0.000 1
Tl1 Tl 0.250 0.250 0.750 1
Cd1 Cd 0.000 0.000 0.500 1
Cd2 Cd 0.250 0.250 0.250 1
```

Calculated values
Total moment: 0.00 Bohr magnetons per cell
DOS at the Fermi energy: 3.7 states/eV/cell
Crystal system: cubic

---

Order of stability, best first: model B, model A

---

Model A:
The following is a GGA-PBEsol calculation of a relaxed MoOs2 crystal, from Alexandria via LeMat-Bulk.

CIF file:
```
data_MoOs2
_chemical_formula_sum 'Mo1 Os2'
_cell_length_a 4.3201
_cell_length_b 4.3201
_cell_length_c 2.7223
_cell_angle_alpha 90.00
_cell_angle_beta 90.00
_cell_angle_gamma 120.00
_symmetry_space_group_name_H-M 'P 6/m m m'
_symmetry_Int_Tables_number 191
_symmetry_space_group_name_Hall '-P 6 2'
loop_
_atom_site_label
_atom_site_type_symbol
_atom_site_fract_x
_atom_site_fract_y
_atom_site_fract_z
_atom_site_occupancy
Mo1 Mo 0.0000 0.0000 0.0000 1
Os1 Os 0.3333 0.6667 0.5000 1
```

Calculated values
Total moment: 0.00 Bohr magnetons per cell
DOS at the Fermi energy: 2.3 states/eV/cell
Crystal system: hexagonal

---

Model B:
The following is a GGA-PBEsol calculation of a relaxed MoOs2 crystal, from Alexandria via LeMat-Bulk.

CIF file:
```
data_MoOs2
_chemical_formula_sum 'Mo8 Os16'
_cell_length_a 3.852
_cell_length_b 3.852
_cell_length_c 23.340
_cell_angle_alpha 90.00
_cell_angle_beta 90.00
_cell_angle_gamma 90.00
_symmetry_space_group_name_H-M 'I 41/a m d'
_symmetry_Int_Tables_number 141
loop_
_symmetry_equiv_pos_as_xyz
'x,y,z'
'-x,-y,-z'
'-y+1/4,x+3/4,z+1/4'
'y+1/4,-x+3/4,-z+1/4'
'-x+1/2,-y,z+1/2'
'x+1/2,y,-z+1/2'
'y+1/4,-x+1/4,z+3/4'
'-y+1/4,x+1/4,-z+3/4'
'x,-y,-z'
'-x,y,z'
'-y+1/4,-x+1/4,-z+3/4'
'y+1/4,x+1/4,z+3/4'
'-x+1/2,y,-z+1/2'
'x+1/2,-y,z+1/2'
'y+1/4,x+3/4,-z+1/4'
'-y+1/4,-x+3/4,z+1/4'
'x+1/2,y+1/2,z+1/2'
'-x+1/2,-y+1/2,-z+1/2'
'-y+3/4,x+1/4,z+3/4'
'y+3/4,-x+1/4,-z+3/4'
'-x,-y+1/2,z'
'x,y+1/2,-z'
'y+3/4,-x+3/4,z+1/4'
'-y+3/4,x+3/4,-z+1/4'
'x+1/2,-y+1/2,-z+1/2'
'-x+1/2,y+1/2,z+1/2'
'-y+3/4,-x+3/4,-z+1/4'
'y+3/4,x+3/4,z+1/4'
'-x,y+1/2,-z'
'x,-y+1/2,z'
'y+3/4,x+1/4,-z+3/4'
'-y+3/4,-x+1/4,z+3/4'
loop_
_atom_site_label
_atom_site_type_symbol
_atom_site_fract_x
_atom_site_fract_y
_atom_site_fract_z
_atom_site_occupancy
Mo1 Mo 0.000 0.250 0.294 1
Os1 Os 0.000 0.250 0.126 1
Os2 Os 0.000 0.250 0.793 1
```

Calculated values
Total moment: 0.00 Bohr magnetons per cell
DOS at the Fermi energy: 19.8 states/eV/cell
Crystal system: tetragonal

---

Order of stability, best first: model B, model A